This record from Alexandria describes a relaxed Sr2Li2Nb3O10 crystal. The functional is GGA-PBE.

a = 4.033 Å, b = 4.033 Å, c = 26.642 Å
α = 90.00°, β = 90.00°, γ = 90.00°
Space group I4/mmm (No. 139)
Asymmetric unit:
Sr: 0.000 0.000 0.082
Li: 0.000 0.500 0.250
Nb: 0.000 0.000 0.343
Nb: 0.000 0.000 0.500
O: 0.000 0.000 0.271
O: 0.000 0.000 0.424
O: 0.000 0.500 0.000
O: 0.000 0.500 0.150

Values from the calculation:
E_tot   -7.7885 eV per atom
Total magnetic moment   0.00 μB per cell
Density   4.81 g cm⁻³
Formation energy without anion corrections   -2.672 eV/atom